# Cd5Si2PO12 | Alexandria via LeMat-Bulk | SCAN | single point on PBEsol structure
# ΔE_f (raw), eV per atom: -1.9823
# Calculated density, g/cm3: 5.5
data_Cd5Si2PO12
_cell_length_a 6.714
_cell_length_b 10.184
_cell_length_c 14.988
_cell_angle_alpha 90.00
_cell_angle_beta 90.00
_cell_angle_gamma 90.00
_space_group_name_H-M_alt 'P 1'
_space_group_IT_number 1
loop_
_space_group_symop_operation_xyz
'x,y,z'
loop_
_atom_site_label
_atom_site_fract_x
_atom_site_fract_y
_atom_site_fract_z
O1 0.591 0.142 0.664
O2 0.324 0.977 0.948
O3 0.970 0.956 0.885
O4 0.530 0.456 0.115
O5 0.903 0.223 0.516
O6 0.970 0.956 0.615
O7 0.403 0.277 0.516
O8 0.470 0.544 0.615
O9 0.591 0.142 0.836
O10 0.232 0.621 0.250
O11 0.909 0.642 0.164
O12 0.824 0.523 0.552
O13 0.710 0.740 0.850
O14 0.732 0.879 0.250
O15 0.790 0.240 0.150
O16 0.091 0.358 0.664
O17 0.535 0.939 0.750
O18 0.409 0.858 0.336
O19 0.790 0.240 0.350
O20 0.768 0.379 0.750
O21 0.290 0.260 0.150
O22 0.903 0.223 0.984
O23 0.530 0.456 0.385
O24 0.176 0.477 0.448
O25 0.710 0.740 0.650
O26 0.403 0.277 0.984
O27 0.210 0.760 0.850
O28 0.909 0.642 0.336
O29 0.097 0.777 0.484
O30 0.210 0.760 0.650
O31 0.030 0.044 0.385
O32 0.676 0.023 0.448
O33 0.091 0.358 0.836
O34 0.176 0.477 0.052
O35 0.409 0.858 0.164
O36 0.097 0.777 0.016
O37 0.824 0.523 0.948
O38 0.324 0.977 0.552
O39 0.035 0.561 0.750
O40 0.268 0.121 0.750
O41 0.290 0.260 0.350
O42 0.965 0.439 0.250
O43 0.597 0.723 0.016
O44 0.030 0.044 0.115
O45 0.597 0.723 0.484
O46 0.470 0.544 0.885
O47 0.465 0.061 0.250
O48 0.676 0.023 0.052
Cd1 0.842 0.837 0.393
Cd2 0.548 0.290 0.250
Cd3 0.342 0.663 0.107
Cd4 0.048 0.210 0.250
Cd5 0.342 0.663 0.393
Cd6 0.645 0.943 0.911
Cd7 0.355 0.057 0.089
Cd8 0.158 0.163 0.607
Cd9 0.842 0.837 0.107
Cd10 0.952 0.790 0.750
Cd11 0.158 0.163 0.893
Cd12 0.855 0.443 0.089
Cd13 0.645 0.943 0.589
Cd14 0.658 0.337 0.893
Cd15 0.855 0.443 0.411
Cd16 0.145 0.557 0.911
Cd17 0.145 0.557 0.589
Cd18 0.355 0.057 0.411
Cd19 0.452 0.710 0.750
Cd20 0.658 0.337 0.607
P1 0.006 0.589 0.250
P2 0.494 0.089 0.750
P3 0.506 0.911 0.250
P4 0.994 0.411 0.750
Si1 0.649 0.634 0.929
Si2 0.351 0.366 0.071
Si3 0.851 0.134 0.071
Si4 0.649 0.634 0.571
Si5 0.851 0.134 0.429
Si6 0.149 0.866 0.571
Si7 0.351 0.366 0.429
Si8 0.149 0.866 0.929